First-principles (PBE) data for a relaxed structure of TcSb2TeI, as listed in Alexandria.

Cell: 5.8137 5.8137 5.7580 Å, 90.00 90.00 90.00°
Fractional coordinates of all 5 atoms:
Tc 0.0000 0.0000 0.0000
Sb 0.0000 0.5000 0.5000
Sb 0.5000 0.0000 0.5000
Te 0.5000 0.5000 0.5000
I 0.5000 0.5000 0.0000

Polymorph energy (0 for the lowest one) ... 1.1527 eV per atom
Uncorrected formation energy ... 1.50 eV per atom
Symmetry ... P4/mmm
Total magnetization ... 3.58 μB per formula unit
N(E_F) ... 4.94 states/eV/cell